Record 1
MgSc3Au (GGA-PBE, optimized geometry); energy of formation = 0.41 eV/f.u.; excess energy over the best structure of this formula in the dataset = 0 meV/atom; space group = Pm-3m
1.0
-4.804 1.983 0.555
-2.032 -4.336 -2.094
-0.334 -2.140 4.757
Au Mg Sc
1 1 3
Cartesian
0.000 0.000 0.000
-3.585 -2.247 1.609
-2.402 0.991 0.277
-1.016 -2.168 -1.047
-0.167 -1.070 2.378



Record 2
Cr2CoAg (GGA-PBE, optimized geometry); energy of formation = 2.25 eV/f.u.; excess energy over the best structure of this formula in the dataset = 213 meV/atom; space group = I4/mmm
1.0
-3.981 0.840 2.305
-3.144 -3.443 -0.359
4.537 0.194 1.114
Cr Ag Co
2 1 1
Cartesian
-3.562 -1.302 0.973
0.000 0.000 0.000
-1.084 -2.276 0.864
-1.503 -0.134 2.196



Record 3
La2W (GGA-PBE, optimized geometry); energy of formation = 1.62 eV/f.u.; excess energy over the best structure of this formula in the dataset = 211 meV/atom; space group = I4/mmm
1.0
7.546 -0.023 0.000
5.918 4.683 0.000
-6.732 -2.330 2.490
La W
2 1
Cartesian
12.956 4.484 0.000
9.484 3.282 0.000
4.488 1.553 0.000



Record 4
Nd2YTl2Zn2 (GGA-PBE, optimized geometry); energy of formation = -1.32 eV/f.u.; space group = R-3m
1.0
4.760 0.000 0.000
2.380 4.122 0.000
2.380 1.374 9.511
Tl Nd Y Zn
2 2 1 2
Cartesian
7.140 4.122 7.590
2.380 1.374 1.921
2.380 1.374 5.920
7.140 4.122 3.590
0.000 0.000 0.000
4.760 2.748 7.907
4.760 2.748 1.604



Record 5
AgPbNF2 (GGA-PBE, optimized geometry); formation energy (no corrections) = -1.35 eV per formula unit; space group = P4/mmm
1.0
4.484 0.000 0.000
0.000 4.484 0.000
0.000 0.000 4.113
N F Pb Ag
1 2 1 1
Cartesian
0.000 0.000 2.057
2.242 0.000 0.000
0.000 2.242 0.000
2.242 2.242 2.057
0.000 0.000 0.000



Record 6
CsRe3P (GGA-PBE, optimized geometry); energy of formation = 8.80 eV/f.u.; excess energy over the best structure of this formula in the dataset = 0 meV/atom; space group = Pm-3m
1.0
4.648 0.000 0.000
0.000 4.648 0.000
0.000 0.000 4.648
Cs P Re
1 1 3
Cartesian
2.324 2.324 2.324
0.000 0.000 0.000
0.000 0.000 2.324
0.000 2.324 0.000
2.324 0.000 0.000



Record 7
Os2C (GGA-PBE, optimized geometry); energy of formation = 1.51 eV/f.u.; excess energy over the best structure of this formula in the dataset = 0 meV/atom; space group = R3m
1.0
-3.859 2.372 2.838
-5.166 1.210 0.649
-4.494 -0.357 2.872
Os C
2 1
Cartesian
-7.773 1.854 3.657
-10.270 2.450 4.831
-13.499 3.220 6.350



Record 8
Pr2O3 (GGA-PBE, optimized geometry); formation energy (no corrections) = -16.45 eV per formula unit; space group = C2/m
1.0
7.577 0.004 0.003
6.653 3.627 0.003
1.569 0.400 8.998
O Pr
9 6
Cartesian
12.334 3.147 5.640
7.771 1.983 5.906
2.960 0.755 6.432
7.115 1.816 0.003
8.028 2.049 3.098
12.839 3.276 2.573
13.261 3.384 8.763
3.466 0.884 3.364
2.539 0.648 0.242
4.613 1.177 1.245
0.764 0.195 1.690
11.186 2.855 7.760
9.828 2.508 4.594
15.035 3.837 7.314
5.972 1.524 4.410



Record 9
LaCo2 (GGA-PBE, optimized geometry); energy of formation = 0.60 eV/f.u.; space group = I4/mmm
1.0
5.460 0.095 0.000
3.359 4.305 0.000
-4.410 -2.200 2.352
La Co
1 2
Cartesian
4.410 2.200 0.000
1.962 0.979 0.000
6.857 3.422 0.000



Record 10
AcRh2 (GGA-PBE, optimized geometry); energy of formation = -1.71 eV/f.u.; excess energy over the best structure of this formula in the dataset = 0 meV/atom; space group = Fd-3m
1.0
-0.696 -3.568 4.196
4.398 -2.539 2.244
1.683 1.364 5.112
Rh Ac
4 2
Cartesian
1.166 -1.695 6.098
3.365 -2.965 7.220
2.524 -3.646 4.664
3.714 -1.180 5.122
0.000 0.000 0.000
1.346 -1.186 2.888



Record 11
Nb2Cu2Ru (GGA-PBE, optimized geometry); energy of formation = 0.48 eV/f.u.; excess energy over the best structure of this formula in the dataset = 0 meV/atom; space group = P4/mbm
1.0
-4.563 -2.806 4.018
3.748 -5.536 0.390
1.579 1.257 2.671
Cu Nb Ru
4 4 2
Cartesian
0.839 -2.428 0.647
1.568 -5.900 1.850
-2.383 -2.442 2.558
-1.654 -5.914 3.762
0.783 -5.826 4.378
2.519 -3.618 2.312
-1.755 -3.467 4.767
-0.019 -1.258 2.702
0.000 0.000 0.000
-0.408 -4.171 2.204



Record 12
Tc2RhO8 (GGA-PBE, optimized geometry); formation energy (no corrections) = -11.72 eV per formula unit; excess energy over the best structure of this formula in the dataset = 81 meV/atom; space group = C2/m
1.0
5.089 -0.083 -0.071
0.570 6.194 -0.340
0.570 0.624 6.171
Tc O Rh
2 8 1
Cartesian
2.045 1.430 1.223
4.183 5.305 4.537
4.470 4.420 -0.067
4.470 0.619 4.377
4.397 4.022 3.440
1.832 2.713 2.321
3.775 1.138 0.974
2.453 5.597 4.787
1.758 2.315 5.828
1.758 6.116 1.384
0.000 0.000 0.000



Record 13
TiNbCrPt (GGA-PBE, optimized geometry); energy of formation = -1.24 eV/f.u.; space group = F-43m
1.0
-1.479 -3.716 1.928
-1.165 -3.483 -2.494
2.513 -3.660 -0.014
Nb Cr Ti Pt
1 1 1 1
Cartesian
-0.065 -5.430 -0.290
-0.098 -8.144 -0.435
0.000 0.000 0.000
-0.033 -2.715 -0.145



Record 14
Ag2PCl (GGA-PBE, optimized geometry); formation energy (no corrections) = 0.42 eV per formula unit; excess energy over the best structure of this formula in the dataset = 83 meV/atom; space group = I-42d
1.0
-1.722 4.433 -4.013
-5.914 -1.878 0.463
-4.538 4.498 2.091
Ag P Cl
4 2 2
Cartesian
-9.867 5.678 -1.555
-6.484 4.263 0.254
-5.109 0.668 0.163
-2.886 3.497 -1.780
-3.818 1.278 -1.775
-7.135 1.949 0.390
0.000 0.000 0.000
-5.039 5.104 -1.848



Record 15
SrHgS2Cl (GGA-PBE, optimized geometry); formation energy (no corrections) = -1.47 eV per formula unit; excess energy over the best structure of this formula in the dataset = 398 meV/atom; space group = P4/mmm
1.0
5.970 0.000 0.000
0.000 5.970 0.000
0.000 0.000 5.586
Sr Cl S Hg
1 1 2 1
Cartesian
0.000 0.000 0.000
0.000 0.000 2.793
2.985 0.000 0.000
0.000 2.985 0.000
2.985 2.985 2.793



Record 16
Tm3Zn3Ga8 (GGA-PBE, optimized geometry); energy of formation = -5.58 eV/f.u.; space group = Immm
1.0
4.044 0.000 1.101
1.516 7.681 2.408
-0.058 -0.239 8.188
Ga Tm Zn
8 3 3
Cartesian
4.570 5.888 7.146
2.669 0.448 6.149
3.556 4.912 2.892
4.170 3.876 8.614
0.933 1.554 4.551
1.946 2.530 8.804
1.332 3.566 3.082
2.833 6.993 5.547
1.946 6.037 8.803
2.751 3.721 5.848
3.556 1.405 2.893
0.252 1.321 7.049
1.206 6.120 3.547
2.022 0.000 0.551



Record 17
Ba3ScSn2O9 (GGA-PBE, optimized geometry); formation energy (no corrections) = -36.02 eV per formula unit; space group = P-3m1
1.0
-4.419 3.182 2.376
-1.010 -3.379 -4.781
-1.712 -5.605 4.323
Ba O Sn Sc
3 9 2 1
Cartesian
-3.858 -0.888 1.443
-3.283 -4.914 0.475
0.000 0.000 0.000
-4.992 -1.666 4.067
-2.209 1.591 1.188
-4.345 -2.554 -0.968
-5.494 -3.345 1.690
-2.149 -4.136 -2.149
-0.505 -1.689 -2.391
-1.646 -2.456 0.228
-2.714 -0.098 -1.203
-2.795 -3.248 2.886
-4.705 -3.664 3.583
-2.435 -2.138 -1.666
-0.856 -2.803 2.161



Record 18
K2RhPb (GGA-PBE, optimized geometry); energy of formation = 0.28 eV/f.u.; space group = Immm
1.0
10.123 2.393 0.055
7.506 7.201 -0.055
-8.696 -5.014 2.726
Rh K Pb
1 2 1
Cartesian
3.812 3.492 1.336
7.047 3.835 0.000
1.767 0.962 0.000
5.120 1.088 1.390



Record 19
GaNiBiP2 (GGA-PBE, optimized geometry); energy of formation = 5.92 eV/f.u.; space group = P4/mmm
1.0
-2.509 1.896 4.328
-1.118 -4.485 1.316
4.558 -0.319 2.783
P Ga Bi Ni
2 1 1 1
Cartesian
2.279 -0.160 1.391
-1.255 0.948 2.164
0.465 -1.454 4.213
0.000 0.000 0.000
-0.559 -2.242 0.658



Record 20
K3TaTi2O8 (GGA-PBE, optimized geometry); formation energy (no corrections) = -36.94 eV per formula unit; space group = P-3m1
1.0
5.872 0.000 0.000
-2.936 5.086 0.000
0.000 0.000 7.613
O K Ta Ti
8 3 1 2
Cartesian
1.523 4.270 2.640
0.000 1.632 2.640
4.459 0.816 4.973
-1.523 4.270 2.640
2.936 1.695 7.351
0.000 3.390 0.262
1.413 0.816 4.973
2.936 3.454 4.973
2.936 1.695 2.289
0.000 0.000 0.000
0.000 3.390 5.325
0.000 0.000 3.807
0.000 3.390 1.973
2.936 1.695 5.640



Record 21
MgSnMoW2 (GGA-PBE, optimized geometry); energy of formation = 8.00 eV/f.u.; excess energy over the best structure of this formula in the dataset = 13 meV/atom; space group = P4/mmm
1.0
-3.153 1.491 -3.210
-2.288 -4.542 0.138
-2.825 1.529 3.485
Mg Sn W Mo
1 1 2 1
Cartesian
-1.144 -2.271 0.069
-4.133 -0.761 0.207
-1.576 0.745 -1.605
-1.413 0.765 1.742
0.000 0.000 0.000



Record 22
Al4AgTe (GGA-PBE, optimized geometry); formation energy (no corrections) = 1.48 eV per formula unit; space group = F-43m
1.0
0.000 3.908 3.908
3.908 0.000 3.908
3.908 3.908 0.000
Al Ag Te
4 1 1
Cartesian
2.926 4.889 4.889
4.889 2.926 4.889
2.926 2.926 2.926
4.889 4.889 2.926
0.000 0.000 0.000
5.861 5.861 5.861



Record 23
AlTe2S5 (GGA-PBE, optimized geometry); formation energy (no corrections) = -1.37 eV per formula unit; space group = Cm
1.0
-0.152 -3.568 5.553
0.634 -5.788 -3.702
6.525 -5.247 2.891
S Te Al
5 2 1
Cartesian
5.031 -8.071 7.051
1.860 -4.302 4.136
2.207 -7.472 2.109
6.542 -10.636 1.461
6.204 -7.549 3.435
1.562 -6.719 4.344
0.868 -7.609 -0.814
0.796 -9.368 1.925



Record 24
Li2Ca (GGA-PBE, optimized geometry); energy of formation = 0.06 eV/f.u.; excess energy over the best structure of this formula in the dataset = 30 meV/atom; space group = I4/mmm
1.0
3.801 0.000 0.000
0.000 3.801 0.000
-1.901 -1.901 5.724
Ca Li
1 2
Cartesian
0.000 0.000 0.000
0.000 0.000 3.530
1.901 1.901 2.194



Record 25
CeSmMgAl (GGA-PBE, optimized geometry); energy of formation = -0.69 eV/f.u.; space group = F-43m
1.0
5.293 0.000 0.000
2.646 4.583 0.000
2.646 1.528 4.321
Ce Sm Mg Al
1 1 1 1
Cartesian
2.646 1.528 1.080
7.939 4.583 3.241
0.000 0.000 0.000
5.293 3.056 2.161



Record 26
AcDy2Pt9 (GGA-PBE, optimized geometry); energy of formation = -11.69 eV/f.u.; space group = R-3m
1.0
5.257 0.000 1.564
2.396 4.679 1.564
0.065 0.040 9.396
Dy Pt Ac
2 9 1
Cartesian
1.117 0.683 5.860
6.600 4.036 6.665
5.830 1.933 4.518
2.546 1.557 1.058
3.339 0.410 8.007
1.887 2.785 8.007
4.378 4.308 4.518
5.171 3.162 11.467
3.162 1.933 3.724
4.555 2.785 8.801
3.859 2.359 6.262
0.000 0.000 0.000



Sequential VASP energy output: -4.6917 -6.7392 -7.0624 -3.5138 -3.9964 -6.9606 -10.0568 -8.1768 -6.1794 -6.8406 -7.4251 -7.2248 -8.7168 -3.1339 -2.7120 -3.3595 -6.7167 -3.2446 -3.5181 -7.6818 -6.8670 -3.2472 -4.0045 -1.9240 -4.1701 -6.6146 eV/atom
Sequential DOS(E_F) output: 9.79 4.86 3.16 3.68 2.23 4.46 2.21 0.00 4.77 3.55 11.44 3.18 4.78 2.31 3.01 3.71 11.05 2.00 4.30 0.00 6.05 3.29 3.35 2.20 8.25 8.25 states/eV per cell